Computed, not measured: a relaxed CaAs2BrN crystal at the PBE level of DFT.

Geometry as POSCAR:
```
CaAs2BrN
1.0
5.7543 0.0000 0.0000
0.0000 5.7543 0.0000
0.0000 0.0000 5.6675
Ca As Br N
1 2 1 1
Direct
0.0000 0.0000 0.0000
0.0000 0.5000 0.0000
0.5000 0.0000 0.0000
0.0000 0.0000 0.5000
0.5000 0.5000 0.5000
```

Theoretical density: 2.512 g/cm3
Excess energy over the best structure of this formula in the dataset: 1206 meV/atom
Raw formation energy: 123 kJ per mole of atoms
Final energy: -2.9814 eV/atom